Entry from OQMD via LeMat-Bulk: a relaxed structure of ZnGaW2 (PBE).

a b c (Å): 4.434 4.434 4.434
angles (deg): 60.00 60.00 60.00
Element x y z (fractional)
Ga  0.500  0.500  0.500
W  0.000  0.000  0.000
W  0.750  0.750  0.750
Zn  0.250  0.250  0.250

Output
Total moment, μB per formula unit: 0.00

Entry from OQMD via LeMat-Bulk: a relaxed structure of ZrGaW (PBE).

a b c (Å): 4.491 4.491 4.491
angles (deg): 60.00 60.00 60.00
Element x y z (fractional)
Ga  0.250  0.250  0.250
W  0.000  0.000  0.000
Zr  0.750  0.750  0.750

Output
Total moment, μB per formula unit: 0.55

Entry from OQMD via LeMat-Bulk: a relaxed structure of ZrGa2W3 (PBE).

a b c (Å): 3.744 3.744 7.217
angles (deg): 90.00 90.00 90.00
Element x y z (fractional)
Ga  0.500  0.000  0.284
Ga  0.000  0.500  0.716
W  0.500  0.500  0.000
W  0.000  0.500  0.358
W  0.500  0.000  0.642
Zr  0.000  0.000  0.000

Output
Total moment, μB per formula unit: 0.00

Entry from OQMD via LeMat-Bulk: a relaxed structure of YZnGa (PBE).

a b c (Å): 4.879 4.879 5.939
angles (deg): 90.00 90.00 120.00
Element x y z (fractional)
Ga  0.333  0.667  0.250
Ga  0.667  0.333  0.750
Y  0.667  0.333  0.250
Y  0.333  0.667  0.750
Zn  0.000  0.000  0.000
Zn  0.000  0.000  0.500

Output
Total moment, μB per formula unit: 0.00

Entry from OQMD via LeMat-Bulk: a relaxed structure of YZnGa (PBE).

a b c (Å): 4.395 4.395 7.317
angles (deg): 90.00 90.00 120.00
Element x y z (fractional)
Ga  0.333  0.667  0.250
Ga  0.667  0.333  0.750
Y  0.000  0.000  0.000
Y  0.000  0.000  0.500
Zn  0.667  0.333  0.250
Zn  0.333  0.667  0.750

Output
Total moment, μB per formula unit: 0.00

Entry from OQMD via LeMat-Bulk: a relaxed structure of YZrGa (PBE).

a b c (Å): 4.841 4.841 4.841
angles (deg): 60.00 60.00 60.00
Element x y z (fractional)
Ga  0.250  0.250  0.250
Y  0.750  0.750  0.750
Zr  0.000  0.000  0.000

Output
Total moment, μB per formula unit: 1.95

Entry from OQMD via LeMat-Bulk: a relaxed structure of YZrGa (PBE).

a b c (Å): 8.517 8.517 8.517
angles (deg): 151.25 151.25 41.10
Element x y z (fractional)
Ga  0.371  0.371  0.000
Ga  0.629  0.629  0.000
Y  0.177  0.177  0.000
Y  0.823  0.823  0.000
Zr  0.500  0.000  0.500
Zr  0.000  0.500  0.500

Output
Total moment, μB per formula unit: 0.01

Entry from OQMD via LeMat-Bulk: a relaxed structure of YZrGa2 (PBE).

a b c (Å): 4.929 4.929 4.929
angles (deg): 60.00 60.00 60.00
Element x y z (fractional)
Ga  0.000  0.000  0.000
Ga  0.250  0.250  0.250
Y  0.750  0.750  0.750
Zr  0.500  0.500  0.500

Output
Total moment, μB per formula unit: 0.02

Entry from OQMD via LeMat-Bulk: a relaxed structure of ZnGa (PBE).

a b c (Å): 4.088 4.088 4.088
angles (deg): 60.00 60.00 60.00
Element x y z (fractional)
Ga  0.000  0.000  0.000
Zn  0.250  0.250  0.250

Entry from OQMD via LeMat-Bulk: a relaxed structure of Zn4Ga3 (PBE).

a b c (Å): 7.501 7.501 4.763
angles (deg): 90.00 90.00 59.99
Element x y z (fractional)
Ga  0.136  0.284  0.000
Ga  0.294  0.565  0.000
Ga  0.856  0.723  0.000
Ga  0.388  0.097  0.500
Ga  0.668  0.658  0.500
Ga  0.230  0.816  0.500
Zn  0.997  0.008  0.000
Zn  0.579  0.138  0.000
Zn  0.710  0.425  0.000
Zn  0.429  0.857  0.000
Zn  0.944  0.243  0.500
Zn  0.527  0.373  0.500
Zn  0.095  0.524  0.500
Zn  0.814  0.956  0.500

Entry from OQMD via LeMat-Bulk: a relaxed structure of ZnGa (PBE).

a b c (Å): 14.532 5.781 4.786
angles (deg): 90.00 90.00 90.00
Element x y z (fractional)
Ga  0.998  0.003  0.000
Ga  0.502  0.254  0.000
Ga  0.002  0.496  0.000
Ga  0.498  0.747  0.000
Ga  0.167  0.752  0.000
Ga  0.667  0.998  0.000
Ga  0.446  0.003  0.500
Ga  0.943  0.254  0.500
Ga  0.443  0.496  0.500
Ga  0.946  0.747  0.500
Ga  0.277  0.752  0.500
Ga  0.777  0.998  0.500
Zn  0.332  0.007  0.000
Zn  0.170  0.249  0.000
Zn  0.831  0.257  0.000
Zn  0.331  0.493  0.000
Zn  0.670  0.501  0.000
Zn  0.832  0.743  0.000
Zn  0.113  0.007  0.500
Zn  0.274  0.249  0.500
Zn  0.614  0.257  0.500
Zn  0.114  0.493  0.500
Zn  0.774  0.501  0.500
Zn  0.613  0.743  0.500

Entry from OQMD via LeMat-Bulk: a relaxed structure of Zn2Ga (PBE).

a b c (Å): 14.418 2.766 4.873
angles (deg): 90.00 90.00 90.00
Element x y z (fractional)
Ga  0.333  0.000  0.000
Ga  0.833  0.500  0.000
Ga  0.111  0.000  0.500
Ga  0.611  0.500  0.500
Zn  0.001  0.000  0.000
Zn  0.665  0.000  0.000
Zn  0.165  0.500  0.000
Zn  0.501  0.500  0.000
Zn  0.443  0.000  0.500
Zn  0.780  0.000  0.500
Zn  0.280  0.500  0.500
Zn  0.943  0.500  0.500

Entry from OQMD via LeMat-Bulk: a relaxed structure of ZnGa (PBE).

a b c (Å): 7.544 5.732 4.728
angles (deg): 90.00 90.00 100.83
Element x y z (fractional)
Ga  0.677  0.169  0.000
Ga  0.330  0.332  0.000
Ga  0.331  0.833  0.000
Ga  0.558  0.390  0.500
Ga  0.212  0.553  0.500
Ga  0.558  0.889  0.500
Zn  0.991  0.501  0.000
Zn  0.675  0.670  0.000
Zn  0.996  0.995  0.000
Zn  0.214  0.053  0.500
Zn  0.898  0.221  0.500
Zn  0.892  0.727  0.500

Entry from OQMD via LeMat-Bulk: a relaxed structure of ZnGa (PBE).

a b c (Å): 3.754 3.754 3.754
angles (deg): 60.00 60.00 60.00
Element x y z (fractional)
Ga  0.000  0.000  0.000
Zn  0.500  0.500  0.500

Entry from OQMD via LeMat-Bulk: a relaxed structure of Zn2Ga (PBE).

a b c (Å): 12.043 7.338 4.858
angles (deg): 90.00 90.00 64.75
Element x y z (fractional)
Ga  0.002  0.001  0.000
Ga  0.746  0.266  0.000
Ga  0.335  0.330  0.000
Ga  0.833  0.827  0.000
Ga  0.859  0.031  0.500
Ga  0.448  0.095  0.500
Ga  0.193  0.360  0.500
Ga  0.361  0.534  0.500
Zn  0.583  0.085  0.000
Zn  0.170  0.163  0.000
Zn  0.921  0.415  0.000
Zn  0.498  0.502  0.000
Zn  0.084  0.583  0.000
Zn  0.659  0.678  0.000
Zn  0.249  0.751  0.000
Zn  0.414  0.908  0.000
Zn  0.025  0.198  0.500
Zn  0.611  0.276  0.500
Zn  0.780  0.453  0.500
Zn  0.945  0.610  0.500
Zn  0.536  0.683  0.500
Zn  0.110  0.778  0.500
Zn  0.696  0.859  0.500
Zn  0.273  0.946  0.500

Entry from OQMD via LeMat-Bulk: a relaxed structure of Zn3Ga2 (PBE).

a b c (Å): 6.260 6.260 5.120
angles (deg): 102.25 102.25 65.81
Element x y z (fractional)
Ga  0.995  0.838  0.034
Ga  0.481  0.731  0.454
Ga  0.838  0.995  0.534
Ga  0.731  0.481  0.954
Zn  0.344  0.436  0.051
Zn  0.547  0.962  0.087
Zn  0.113  0.198  0.216
Zn  0.436  0.344  0.551
Zn  0.962  0.547  0.587
Zn  0.198  0.113  0.716

Entry from OQMD via LeMat-Bulk: a relaxed structure of Zn2Ga (PBE).

a b c (Å): 14.587 2.756 4.848
angles (deg): 90.00 90.00 90.00
Element x y z (fractional)
Ga  0.666  0.000  0.000
Ga  0.166  0.500  0.000
Ga  0.779  0.000  0.500
Ga  0.279  0.500  0.500
Zn  0.337  0.000  0.000
Zn  0.996  0.000  0.000
Zn  0.496  0.500  0.000
Zn  0.837  0.500  0.000
Zn  0.107  0.000  0.500
Zn  0.449  0.000  0.500
Zn  0.607  0.500  0.500
Zn  0.949  0.500  0.500

Entry from OQMD via LeMat-Bulk: a relaxed structure of ZnGa (PBE).

a b c (Å): 7.430 5.748 4.799
angles (deg): 90.00 90.00 101.47
Element x y z (fractional)
Ga  0.338  0.331  0.000
Ga  0.995  0.499  0.000
Ga  0.337  0.838  0.000
Ga  0.885  0.217  0.500
Ga  0.227  0.556  0.500
Ga  0.884  0.724  0.500
Zn  0.668  0.164  0.000
Zn  0.664  0.669  0.000
Zn  0.999  0.999  0.000
Zn  0.223  0.056  0.500
Zn  0.558  0.386  0.500
Zn  0.554  0.892  0.500

Entry from OQMD via LeMat-Bulk: a relaxed structure of ZnGa (PBE).

a b c (Å): 7.500 5.742 4.750
angles (deg): 90.00 90.00 100.69
Element x y z (fractional)
Ga  0.675  0.167  0.000
Ga  0.326  0.331  0.000
Ga  0.669  0.669  0.000
Ga  0.553  0.386  0.500
Ga  0.896  0.725  0.500
Ga  0.547  0.888  0.500
Zn  0.004  0.002  0.000
Zn  0.003  0.500  0.000
Zn  0.322  0.831  0.000
Zn  0.219  0.054  0.500
Zn  0.900  0.225  0.500
Zn  0.219  0.555  0.500

Entry from OQMD via LeMat-Bulk: a relaxed structure of ZnGa (PBE).

a b c (Å): 4.847 11.379 4.863
angles (deg): 90.00 90.00 90.00
Element x y z (fractional)
Ga  0.996  0.002  0.000
Ga  0.996  0.498  0.000
Ga  0.505  0.625  0.000
Ga  0.505  0.875  0.000
Ga  0.828  0.125  0.500
Ga  0.828  0.375  0.500
Ga  0.338  0.502  0.500
Ga  0.338  0.998  0.500
Zn  0.496  0.132  0.000
Zn  0.005  0.250  0.000
Zn  0.496  0.368  0.000
Zn  0.008  0.750  0.000
Zn  0.325  0.250  0.500
Zn  0.837  0.632  0.500
Zn  0.329  0.750  0.500
Zn  0.837  0.868  0.500

Number 1: uncorrected energy -7.2065 eV per atom. Number 2: uncorrected energy -7.4213 eV per atom. Number 3: uncorrected energy -8.5419 eV per atom. Number 4: uncorrected energy -3.9997 eV per atom. Number 5: uncorrected energy -4.1681 eV per atom. Number 6: uncorrected energy -5.4960 eV per atom. Number 7: uncorrected energy -6.4775 eV per atom. Number 8: uncorrected energy -5.1356 eV per atom. Number 9: uncorrected energy -1.7331 eV per atom. Number 10: uncorrected energy -1.9563 eV per atom. Number 11: uncorrected energy -2.0810 eV per atom. Number 12: uncorrected energy -1.7929 eV per atom. Number 13: uncorrected energy -2.0823 eV per atom. Number 14: uncorrected energy -1.9867 eV per atom. Number 15: uncorrected energy -1.7958 eV per atom. Number 16: uncorrected energy -1.8963 eV per atom. Number 17: uncorrected energy -1.7956 eV per atom. Number 18: uncorrected energy -2.0796 eV per atom. Number 19: uncorrected energy -2.0831 eV per atom. Number 20: uncorrected energy -2.0841 eV per atom.